Record 1
First-principles (PBE) data for a geometry-optimized Li2CdPd structure, as listed in the Alexandria database.

abc: 3.875 3.875 9.831
angles: 78.63 78.63 90.00
Fractional positions:
Li (0.603, 0.125, 0.250)
Li (0.147, 0.625, 0.250)
Li (0.375, 0.397, 0.750)
Li (0.875, 0.853, 0.750)
Pd (0.500, 0.500, 0.000)
Pd (0.250, 0.750, 0.500)
Cd (0.000, 0.000, 0.000)
Cd (0.750, 0.250, 0.500)

formation energy = -0.205 eV/atom

***

Record 2
First-principles (PBE) data for a geometry-optimized CrSiGe2 structure, as listed in the Alexandria database.

abc: 7.059 7.059 5.625
angles: 51.14 51.14 90.00
Fractional positions:
Cr (0.000, 0.000, 0.000)
Cr (0.750, 0.250, 0.500)
Ge (0.639, 0.125, 0.250)
Ge (0.111, 0.625, 0.250)
Ge (0.375, 0.361, 0.750)
Ge (0.875, 0.889, 0.750)
Si (0.500, 0.500, 0.000)
Si (0.250, 0.750, 0.500)

formation energy without anion corrections = 0.6008 eV per atom

***

Record 3
First-principles (PBE) data for a geometry-optimized HfAlAu structure, as listed in the Alexandria database.

abc: 3.140 4.351 8.122
angles: 90.00 101.19 90.00
Fractional positions:
Hf (0.070, 0.590, 0.358)
Hf (0.840, 0.090, 0.901)
Au (0.660, 0.090, 0.539)
Au (0.250, 0.590, 0.719)
Al (0.497, 0.090, 0.213)
Al (0.413, 0.590, 0.045)

formation energy = -0.452 eV/atom

***

Record 4
First-principles (PBE) data for a geometry-optimized YMn2Co structure, as listed in the Alexandria database.

abc: 4.311 4.311 4.311
angles: 60.00 60.00 60.00
Fractional positions:
Y (0.500, 0.500, 0.500)
Mn (0.250, 0.250, 0.250)
Mn (0.750, 0.750, 0.750)
Co (0.000, 0.000, 0.000)

polymorph energy (0 for the lowest one) = 608 meV/atom
formation energy = 0.709 eV/atom

***

Record 5
First-principles (PBE) data for a geometry-optimized Mn2TcRu structure, as listed in the Alexandria database.

abc: 5.937 4.504 2.651
angles: 89.95 63.56 121.87
Fractional positions:
Mn (0.000, 0.000, 0.000)
Mn (0.500, 0.000, 0.500)
Ru (0.000, 0.500, 0.500)
Tc (0.500, 0.500, 0.000)

formation energy = 0.100 eV/atom

***

Record 6
First-principles (PBE) data for a geometry-optimized NpTa2Mn structure, as listed in the Alexandria database.

abc: 3.024 3.024 7.631
angles: 90.00 90.00 90.00
Fractional positions:
Np (0.500, 0.500, 0.500)
Mn (0.500, 0.500, 0.000)
Ta (0.000, 0.000, 0.798)
Ta (0.000, 0.000, 0.202)

formation energy = 0.190 eV/atom

***

Record 7
First-principles (PBE) data for a geometry-optimized CeSm12Tm3 structure, as listed in the Alexandria database.

abc: 5.088 5.088 20.332
angles: 90.00 90.00 90.00
Fractional positions:
Ce (0.000, 0.000, 0.000)
Sm (0.500, 0.500, 0.000)
Sm (0.500, 0.500, 0.252)
Sm (0.500, 0.500, 0.500)
Sm (0.500, 0.500, 0.748)
Sm (0.500, 0.000, 0.125)
Sm (0.500, 0.000, 0.375)
Sm (0.500, 0.000, 0.625)
Sm (0.500, 0.000, 0.875)
Sm (0.000, 0.500, 0.125)
Sm (0.000, 0.500, 0.375)
Sm (0.000, 0.500, 0.625)
Sm (0.000, 0.500, 0.875)
Tm (0.000, 0.000, 0.250)
Tm (0.000, 0.000, 0.500)
Tm (0.000, 0.000, 0.750)

formation energy = 0.033 eV/atom

***

Record 8
First-principles (PBE) data for a geometry-optimized Dy5In2Ru2 structure, as listed in the Alexandria database.

abc: 7.575 7.449 9.020
angles: 114.39 90.00 90.00
Fractional positions:
Dy (0.000, 0.000, 0.000)
Dy (0.500, 0.500, 0.000)
Dy (0.826, 0.792, 0.234)
Dy (0.174, 0.442, 0.234)
Dy (0.326, 0.942, 0.234)
Dy (0.674, 0.292, 0.234)
Dy (0.174, 0.208, 0.766)
Dy (0.826, 0.558, 0.766)
Dy (0.674, 0.058, 0.766)
Dy (0.326, 0.708, 0.766)
In (0.000, 0.222, 0.444)
In (0.500, 0.722, 0.444)
In (0.000, 0.778, 0.556)
In (0.500, 0.278, 0.556)
Ru (0.629, 0.876, 0.000)
Ru (0.371, 0.124, 0.000)
Ru (0.129, 0.624, 0.000)
Ru (0.871, 0.376, 0.000)

formation energy = -0.378 eV/atom

***

Record 9
First-principles (PBE) data for a geometry-optimized Y2Pa2Se5 structure, as listed in the Alexandria database.

abc: 4.050 4.050 19.292
angles: 90.00 90.00 120.00
Fractional positions:
Y (0.333, 0.667, 0.588)
Y (0.667, 0.333, 0.412)
Pa (0.333, 0.667, 0.180)
Pa (0.667, 0.333, 0.820)
Se (0.000, 0.000, 0.500)
Se (0.333, 0.667, 0.328)
Se (0.667, 0.333, 0.672)
Se (0.333, 0.667, 0.903)
Se (0.667, 0.333, 0.097)

formation energy without anion corrections = -1.2428 eV per atom

***

Record 10
First-principles (PBE) data for a geometry-optimized PuMg2Ga2Au2 structure, as listed in the Alexandria database.

abc: 4.499 4.499 8.724
angles: 75.06 75.06 60.00
Fractional positions:
Pu (0.000, 0.000, 0.000)
Mg (0.134, 0.134, 0.599)
Mg (0.866, 0.866, 0.401)
Ga (0.598, 0.598, 0.207)
Ga (0.402, 0.402, 0.793)
Au (0.753, 0.753, 0.741)
Au (0.247, 0.247, 0.259)

formation energy = -0.423 eV/atom

***

Record 11
First-principles (PBE) data for a geometry-optimized LiAcSn2 structure, as listed in the Alexandria database.

abc: 4.705 4.705 6.458
angles: 68.64 68.64 60.00
Fractional positions:
Ac (0.000, 0.000, 0.000)
Sn (0.215, 0.215, 0.356)
Sn (0.785, 0.785, 0.644)
Li (0.500, 0.500, 0.500)

formation energy = -0.509 eV/atom

***

Record 12
First-principles (PBE) data for a geometry-optimized Al3Ir2Os structure, as listed in the Alexandria database.

abc: 3.014 3.014 9.048
angles: 90.00 90.00 90.00
Fractional positions:
Al (0.000, 0.000, 0.000)
Al (0.000, 0.000, 0.660)
Al (0.000, 0.000, 0.340)
Ir (0.500, 0.500, 0.834)
Ir (0.500, 0.500, 0.166)
Os (0.500, 0.500, 0.500)

formation energy = -0.801 eV/atom

***

Record 13
First-principles (PBE) data for a geometry-optimized NaCd3Ru structure, as listed in the Alexandria database.

abc: 5.047 5.047 5.047
angles: 90.00 90.00 90.00
Fractional positions:
Ru (0.500, 0.500, 0.500)
Na (0.000, 0.000, 0.000)
Cd (0.000, 0.500, 0.000)
Cd (0.000, 0.000, 0.500)
Cd (0.500, 0.000, 0.000)

polymorph energy (0 for the lowest one) = 988 meV/atom
formation energy = 1.285 eV/atom

***

Record 14
First-principles (PBE) data for a geometry-optimized Ta4TiMo structure, as listed in the Alexandria database.

abc: 4.480 4.480 6.089
angles: 90.00 90.00 90.00
Fractional positions:
Ta (0.501, 0.997, 0.247)
Ta (0.501, 0.997, 0.749)
Ta (0.001, 0.497, 0.749)
Ta (0.001, 0.497, 0.247)
Ti (0.501, 0.497, 0.998)
Mo (0.001, 0.997, 0.498)

polymorph energy (0 for the lowest one) = 838 meV/atom
formation energy = 0.793 eV/atom

***

Record 15
First-principles (PBE) data for a geometry-optimized LaPm2Er7 structure, as listed in the Alexandria database.

abc: 6.157 7.970 11.266
angles: 135.15 123.08 58.95
Fractional positions:
La (0.000, 0.000, 0.000)
Pm (0.499, 0.900, 0.600)
Pm (0.501, 0.100, 0.400)
Er (0.000, 0.601, 0.400)
Er (0.000, 0.399, 0.600)
Er (0.501, 0.699, 0.800)
Er (0.499, 0.301, 0.200)
Er (0.000, 0.799, 0.200)
Er (0.000, 0.201, 0.800)
Er (0.500, 0.500, 0.000)

polymorph energy (0 for the lowest one) = 0 meV/atom
formation energy = 0.023 eV/atom

***

Record 16
First-principles (PBE) data for a geometry-optimized Sr2YAs structure, as listed in the Alexandria database.

abc: 7.209 7.209 5.785
angles: 66.34 66.34 31.98
Fractional positions:
Y (0.574, 0.574, 0.426)
Sr (0.938, 0.938, 0.062)
Sr (0.754, 0.754, 0.746)
As (0.235, 0.235, 0.266)

formation energy = -0.531 eV/atom

***

Record 17
First-principles (PBE) data for a geometry-optimized AcCeTl2 structure, as listed in the Alexandria database.

abc: 4.739 4.802 11.565
angles: 89.98 101.79 90.00
Fractional positions:
Ac (0.313, 0.250, 0.624)
Ac (0.687, 0.750, 0.376)
Ce (0.540, 0.251, 0.081)
Ce (0.460, 0.749, 0.919)
Tl (0.843, 0.750, 0.686)
Tl (0.157, 0.250, 0.314)
Tl (0.065, 0.751, 0.131)
Tl (0.935, 0.249, 0.869)

formation energy = -0.289 eV/atom

***

Record 18
First-principles (PBE) data for a geometry-optimized Y2Ho2Th3 structure, as listed in the Alexandria database.

abc: 3.479 8.440 8.894
angles: 116.87 101.28 90.00
Fractional positions:
Y (0.854, 0.669, 0.707)
Y (0.146, 0.331, 0.293)
Ho (0.568, 0.904, 0.137)
Ho (0.432, 0.096, 0.863)
Th (0.000, 0.500, 0.000)
Th (0.212, 0.795, 0.424)
Th (0.788, 0.205, 0.576)

polymorph energy (0 for the lowest one) = 2 meV/atom
formation energy = 0.131 eV/atom

***

Record 19
First-principles (PBE) data for a geometry-optimized NbSn2Au structure, as listed in the Alexandria database.

abc: 4.906 4.906 4.906
angles: 60.00 60.00 60.00
Fractional positions:
Nb (0.000, 0.000, 0.000)
Au (0.500, 0.500, 0.500)
Sn (0.250, 0.250, 0.250)
Sn (0.750, 0.750, 0.750)

polymorph energy (0 for the lowest one) = 251 meV/atom
formation energy = 0.260 eV/atom

***

Record 20
First-principles (PBE) data for a geometry-optimized NiAs2P structure, as listed in the Alexandria database.

abc: 8.575 8.575 8.575
angles: 20.64 20.64 20.64
Fractional positions:
Ni (0.510, 0.510, 0.510)
As (0.978, 0.978, 0.978)
As (0.776, 0.776, 0.776)
P (0.236, 0.236, 0.236)

formation energy = 0.125 eV/atom

***

Record 21
First-principles (PBE) data for a geometry-optimized LaFeTe2Au structure, as listed in the Alexandria database.

abc: 6.083 5.148 6.083
angles: 90.00 90.00 90.00
Fractional positions:
Te (0.000, 0.000, 0.500)
Te (0.500, 0.000, 0.000)
Au (0.500, 0.500, 0.500)
Fe (0.000, 0.500, 0.000)
La (0.000, 0.000, 0.000)

formation energy without anion corrections = 0.8243 eV per atom

***

Record 22
First-principles (PBE) data for a geometry-optimized LiYCo2 structure, as listed in the Alexandria database.

abc: 4.793 4.793 4.793
angles: 130.64 130.77 72.28
Fractional positions:
Co (0.000, 0.000, 0.000)
Co (0.500, 0.500, 0.000)
Li (0.750, 0.250, 0.500)
Y (0.250, 0.750, 0.500)

polymorph energy (0 for the lowest one) = 249 meV/atom
formation energy = 0.257 eV/atom

***

Record 23
First-principles (PBE) data for a geometry-optimized LaHo4Sc2 structure, as listed in the Alexandria database.

abc: 5.560 5.560 8.789
angles: 108.44 108.44 90.00
Fractional positions:
La (0.000, 0.000, 0.000)
Ho (0.812, 0.812, 0.623)
Ho (0.188, 0.188, 0.377)
Ho (0.000, 0.500, 0.000)
Ho (0.500, 0.000, 0.000)
Sc (0.396, 0.396, 0.792)
Sc (0.604, 0.604, 0.208)

polymorph energy (0 for the lowest one) = 698 meV/atom
formation energy = 0.753 eV/atom

***

Record 24
First-principles (PBE) data for a geometry-optimized Pr6TlSe5 structure, as listed in the Alexandria database.

abc: 7.482 7.497 7.481
angles: 59.93 80.45 70.67
Fractional positions:
Pr (0.745, 0.084, 0.341)
Pr (0.255, 0.575, 0.341)
Pr (0.251, 0.257, 0.000)
Pr (0.749, 0.743, 0.000)
Pr (0.745, 0.425, 0.659)
Pr (0.255, 0.916, 0.659)
Tl (0.000, 0.000, 0.000)
Se (0.500, 0.163, 0.673)
Se (0.000, 0.333, 0.334)
Se (0.500, 0.500, 0.000)
Se (0.000, 0.667, 0.666)
Se (0.500, 0.837, 0.327)

formation energy without anion corrections = -1.5967 eV per atom

***

Record 25
First-principles (PBE) data for a geometry-optimized CaSbPCl2 structure, as listed in the Alexandria database.

abc: 4.974 4.974 6.052
angles: 90.00 90.00 90.00
Fractional positions:
Sb (0.500, 0.500, 0.500)
Ca (0.000, 0.000, 0.000)
P (0.000, 0.000, 0.500)
Cl (0.000, 0.500, 0.000)
Cl (0.500, 0.000, 0.000)

formation energy without anion corrections = -0.3918 eV per atom
polymorph energy (0 for the lowest one) = 86 meV/atom

***

Record 26
First-principles (PBE) data for a geometry-optimized LiZnHIr2 structure, as listed in the Alexandria database.

abc: 3.856 3.856 3.891
angles: 90.00 90.00 90.00
Fractional positions:
H (0.000, 0.000, 0.000)
Zn (0.500, 0.500, 0.500)
Ir (0.000, 0.500, 0.000)
Ir (0.500, 0.000, 0.000)
Li (0.000, 0.000, 0.500)

DFT total energy = -4.961 eV/atom